# 1
Density functional theory data (PBE) for an optimized crystal structure of YThNiRh.

Computed properties:
ΔH_f (0 K) = -547 meV per atom
N(E_F) = 20.3 states/eV/cell
Energy above the most stable polymorph in this dataset = 120.8 meV/atom

Structure (CIF):
```
data_YThNiRh
_cell_length_a 6.986
_cell_length_b 6.986
_cell_length_c 6.986
_cell_angle_alpha 90.00
_cell_angle_beta 90.00
_cell_angle_gamma 90.00
_symmetry_space_group_name_H-M 'F -4 3 m'
_symmetry_Int_Tables_number 216
_symmetry_space_group_name_Hall 'F -4 2 3'
loop_
_atom_site_label
_atom_site_fract_x
_atom_site_fract_y
_atom_site_fract_z
Y1 0.000 0.000 0.000
Th1 0.000 0.000 0.500
Ni1 0.250 0.250 0.250
Rh1 0.250 0.250 0.750
```


# 2
Density functional theory data (PBE) for an optimized crystal structure of YThNiRh.

Computed properties:
ΔH_f (0 K) = -668 meV per atom
N(E_F) = 5.6 states/eV/cell
Energy above the most stable polymorph in this dataset = 0.0 meV/atom

Structure (CIF):
```
data_YThNiRh
_cell_length_a 4.447
_cell_length_b 3.757
_cell_length_c 10.357
_cell_angle_alpha 90.00
_cell_angle_beta 90.00
_cell_angle_gamma 90.00
_symmetry_space_group_name_H-M 'A m m 2'
_symmetry_Int_Tables_number 38
_symmetry_space_group_name_Hall 'A 2 -2'
loop_
_atom_site_label
_atom_site_fract_x
_atom_site_fract_y
_atom_site_fract_z
Y1 0.000 0.000 0.000
Th1 0.500 0.000 0.724
Ni1 0.000 0.000 0.278
Rh1 0.500 0.000 0.448
```